Computed, not measured: a relaxed structure of Li4Fe3P3O12F at the GGA+U level of DFT.

Unit cell a=8.4626 b=8.4626 c=8.4626 alpha=90.00 beta=90.00 gamma=90.00
With the nearest neighbours (Å) after each atom.
Sites, in units of the cell vectors:
Li (0.1447, 0.1447, 0.1447)  3 O 2.07, 1 F 2.12
Li (0.1447, 0.8553, 0.8553)  3 O 2.07, 1 F 2.12
Li (0.3553, 0.3553, 0.6447)  3 O 2.07, 1 F 2.12
Li (0.3553, 0.6447, 0.3553)  3 O 2.07, 1 F 2.12
Li (0.6447, 0.3553, 0.3553)  3 O 2.07, 1 F 2.12
Li (0.6447, 0.6447, 0.6447)  3 O 2.07, 1 F 2.12
Li (0.8553, 0.1447, 0.8553)  3 O 2.07, 1 F 2.12
Li (0.8553, 0.8553, 0.1447)  3 O 2.07, 1 F 2.12
Fe (0.0000, 0.5000, 0.2500)  4 O 2.02
Fe (0.0000, 0.5000, 0.7500)  4 O 2.02
Fe (0.2500, 0.0000, 0.5000)  4 O 2.02
Fe (0.5000, 0.2500, 0.0000)  4 O 2.02
Fe (0.5000, 0.7500, 0.0000)  4 O 2.02
Fe (0.7500, 0.0000, 0.5000)  4 O 2.02
P (0.0000, 0.2500, 0.5000)  4 O 1.56
P (0.0000, 0.7500, 0.5000)  4 O 1.56
P (0.2500, 0.5000, 0.0000)  4 O 1.56
P (0.5000, 0.0000, 0.2500)  4 O 1.56
P (0.5000, 0.0000, 0.7500)  4 O 1.56
P (0.7500, 0.5000, 0.0000)  4 O 1.56
O (0.1149, 0.3528, 0.6005)  1 P 1.56
O (0.1149, 0.6472, 0.3995)  1 P 1.56
O (0.1005, 0.1472, 0.3851)  1 P 1.56
O (0.1005, 0.8528, 0.6149)  1 P 1.56
O (0.1472, 0.3851, 0.1005)  1 P 1.56
O (0.1472, 0.6149, 0.8995)  1 P 1.56
O (0.3528, 0.3995, 0.8851)  1 P 1.56
O (0.3528, 0.6005, 0.1149)  1 P 1.56
O (0.3995, 0.1149, 0.6472)  1 P 1.56
O (0.3995, 0.8851, 0.3528)  1 P 1.56
O (0.3851, 0.1005, 0.1472)  1 P 1.56
O (0.3851, 0.8995, 0.8528)  1 P 1.56
O (0.6149, 0.1005, 0.8528)  1 P 1.56
O (0.6149, 0.8995, 0.1472)  1 P 1.56
O (0.6005, 0.1149, 0.3528)  1 P 1.56
O (0.6005, 0.8851, 0.6472)  1 P 1.56
O (0.6472, 0.3995, 0.1149)  1 P 1.56
O (0.6472, 0.6005, 0.8851)  1 P 1.56
O (0.8528, 0.3851, 0.8995)  1 P 1.56
O (0.8528, 0.6149, 0.1005)  1 P 1.56
O (0.8995, 0.1472, 0.6149)  1 P 1.56
O (0.8995, 0.8528, 0.3851)  1 P 1.56
O (0.8851, 0.3528, 0.3995)  1 P 1.56
O (0.8851, 0.6472, 0.6005)  1 P 1.56
F (0.0000, 0.0000, 0.0000)  4 Li 2.12
F (0.5000, 0.5000, 0.5000)  4 Li 2.12

DOS(E_F) ... 0.0 states/eV/cell
Total energy ... -303.60 eV for the cell shown
Magnetic moment ... 24.00 μB per cell
Mass density ... 2.736 g cm⁻³